DFT (PBE-GGA) results for crystalline YAlRu2Br at its relaxed geometry.

The value obtained for the calculated total energy is -26.57 eV for the cell shown. As for the formation energy from raw total energies: 0.77 eV per atom.

a b c (Å): 4.6204 4.9659 4.6204
angles (deg): 90.00 90.00 90.00
Closest atoms and distances in Å follow each position.
Fractional positions:
Y (0.5000, 0.5000, 0.5000)  4 Al 3.27, 8 Ru 3.39
Ru (0.0000, 0.0000, 0.5000)  2 Br 2.31
Ru (0.5000, 0.0000, 0.0000)  2 Br 2.31
Al (0.0000, 0.5000, 0.0000)  2 Br 2.48
Br (0.0000, 0.0000, 0.0000)  4 Ru 2.31, 2 Al 2.48